(1)
A relaxed structure of TbB4Pb, computed with PBE-GGA.

Values from the calculation:
Offset from the most stable computed form: 0.0 meV/atom
Total magnetic moment: 0.00 Bohr magnetons per cell
Calculated total energy: -69.4 eV per cell

Lattice parameters (Å, degrees): 3.236 5.400 8.592 90.00 90.00 90.00
Space group Immm (No. 71)
Asymmetric unit:
Tb1 0.000 0.000 0.000 [2 per cell]
B1 0.000 0.328 0.258 [8 per cell]
Pb1 0.000 0.000 0.500 [2 per cell]

***

(2)
A relaxed structure of HfFeRePb, computed with PBE-GGA.

Values from the calculation:
Offset from the most stable computed form: 0.0 meV/atom
Total magnetic moment: 3.59 Bohr magnetons per cell
Calculated total energy: -132.0 eV per cell

Lattice parameters (Å, degrees): 6.494 6.494 6.494 90.00 90.00 90.00
Space group F-43m (No. 216)
Asymmetric unit:
Hf1 0.000 0.000 0.000 [4 per cell]
Fe1 0.250 0.250 0.750 [4 per cell]
Re1 0.250 0.250 0.250 [4 per cell]
Pb1 0.000 0.000 0.500 [4 per cell]

***

(3)
A relaxed structure of TbMg, computed with PBE-GGA.

Values from the calculation:
Total magnetic moment: 0.05 Bohr magnetons per cell
Calculated total energy: -62.8 eV per cell

Lattice parameters (Å, degrees): 5.121 20.956 5.125 90.00 90.00 90.00
Space group Cmmm (No. 65)
Asymmetric unit:
Tb1 0.000 0.000 0.000 [2 per cell]
Tb2 0.000 0.194 0.000 [4 per cell]
Tb3 0.000 0.310 0.500 [4 per cell]
Mg1 0.000 0.090 0.500 [4 per cell]
Mg2 0.000 0.409 0.000 [4 per cell]
Mg3 0.000 0.500 0.500 [2 per cell]

***

(4)
A relaxed structure of KCdNO, computed with PBE-GGA.

Values from the calculation:
Offset from the most stable computed form: 29.1 meV/atom
Calculated total energy: -28.3 eV per cell

Lattice parameters (Å, degrees): 3.863 6.310 6.009 90.00 90.00 90.00
Space group Pmc2_1 (No. 26)
Asymmetric unit:
K1 0.000 0.196 0.000 [2 per cell]
Cd1 0.500 0.250 0.497 [2 per cell]
N1 0.000 0.379 0.493 [2 per cell]
O1 0.500 0.003 0.750 [2 per cell]

***

(5)
A relaxed structure of Pm12InCo6, computed with PBE-GGA.

Values from the calculation:
Total magnetic moment: 1.08 Bohr magnetons per cell
Calculated total energy: -210.9 eV per cell

Lattice parameters (Å, degrees): 9.918 9.918 9.918 90.00 90.00 90.00
Space group Im-3 (No. 204)
Asymmetric unit:
Pm1 0.000 0.305 0.193 [24 per cell]
In1 0.000 0.000 0.000 [2 per cell]
Co1 0.000 0.111 0.500 [12 per cell]

***

(6)
A relaxed structure of Zr2ScOs3, computed with PBE-GGA.

Values from the calculation:
Total magnetic moment: 0.00 Bohr magnetons per cell
Formation enthalpy at 0 K: -0.50 eV per atom
Calculated total energy: -60.1 eV per cell

Lattice parameters (Å, degrees): 3.263 3.263 9.752 90.00 90.00 90.00
Space group P4/mmm (No. 123)
Asymmetric unit:
Zr1 0.000 0.000 0.171 [2 per cell]
Sc1 0.000 0.000 0.500 [1 per cell]
Os1 0.500 0.500 0.000 [1 per cell]
Os2 0.500 0.500 0.333 [2 per cell]

***

(7)
A relaxed structure of Nb2GaCu, computed with PBE-GGA.

Values from the calculation:
Total magnetic moment: 0.34 Bohr magnetons per cell
Calculated total energy: -103.5 eV per cell

Lattice parameters (Å, degrees): 6.391 6.391 6.391 90.00 90.00 90.00
Space group F-43m (No. 216)
Asymmetric unit:
Nb1 0.000 0.000 0.000 [4 per cell]
Nb2 0.250 0.250 0.250 [4 per cell]
Ga1 0.000 0.000 0.500 [4 per cell]
Cu1 0.250 0.250 0.750 [4 per cell]

***

(8)
A relaxed structure of LiFeTcB, computed with PBE-GGA.

Values from the calculation:
Offset from the most stable computed form: 33.4 meV/atom
Total magnetic moment: 10.81 Bohr magnetons per cell
Calculated total energy: -104.7 eV per cell

Lattice parameters (Å, degrees): 5.451 5.451 5.451 90.00 90.00 90.00
Space group F-43m (No. 216)
Asymmetric unit:
Li1 0.000 0.000 0.000 [4 per cell]
Fe1 0.250 0.250 0.750 [4 per cell]
Tc1 0.250 0.250 0.250 [4 per cell]
B1 0.000 0.000 0.500 [4 per cell]

***

(9)
A relaxed structure of NdCuGeTe3, computed with PBE-GGA.

Values from the calculation:
Total magnetic moment: 0.00 Bohr magnetons per cell
Calculated total energy: -103.3 eV per cell

Lattice parameters (Å, degrees): 4.169 14.363 11.318 90.00 90.00 90.00
Space group Cmcm (No. 63)
Asymmetric unit:
Nd1 0.000 0.000 0.000 [4 per cell]
Cu1 0.000 0.475 0.250 [4 per cell]
Ge1 0.000 0.224 0.750 [4 per cell]
Te1 0.000 0.095 0.250 [4 per cell]
Te2 0.000 0.347 0.078 [8 per cell]

***

(10)
A relaxed structure of Rb2NaCu3P2, computed with PBE-GGA.

Values from the calculation:
Calculated total energy: -80.9 eV per cell

Lattice parameters (Å, degrees): 5.9194 5.9194 19.6997 90.00 90.00 120.00
Space group R-3m (No. 166, hexagonal axes)
Asymmetric unit:
Rb1 0.0000 0.0000 0.0923 [6 per cell]
Na1 0.0000 0.0000 0.5000 [3 per cell]
Cu1 0.0000 0.5000 0.0000 [9 per cell]
P1 0.0000 0.0000 0.2595 [6 per cell]

***

(11)
A relaxed structure of AcTaO3, computed with PBE-GGA.

Values from the calculation:
Total magnetic moment: 0.01 Bohr magnetons per cell
Calculated total energy: -177.0 eV per cell

Lattice parameters (Å, degrees): 5.983 8.195 5.615 90.00 90.00 90.00
Space group Pnma (No. 62)
Asymmetric unit:
Ac1 0.055 0.250 0.011 [4 per cell]
Ta1 0.000 0.000 0.500 [4 per cell]
O1 0.003 0.750 0.454 [4 per cell]
O2 0.216 0.527 0.790 [8 per cell]

***

(12)
A relaxed structure of PmYGe, computed with PBE-GGA.

Values from the calculation:
Total magnetic moment: 6.50 Bohr magnetons per cell
Calculated total energy: -59.5 eV per cell

Lattice parameters (Å, degrees): 7.089 7.089 7.089 90.00 90.00 90.00
Space group F-43m (No. 216)
Asymmetric unit:
Pm1 0.000 0.000 0.000 [4 per cell]
Y1 0.250 0.250 0.750 [4 per cell]
Ge1 0.000 0.000 0.500 [4 per cell]